Rb2VSO6, relaxed, DFT PBE with a Hubbard U; spin magnetization = 0.6 μB per cell; volume = 149.9 Å³ per cell; DFT total energy = -5.5153 eV/atom
1.0
-2.616 2.616 5.475
2.616 -2.616 5.475
2.616 2.616 -5.475
Rb V S O
2 1 1 6
Direct
0.250 0.750 0.500
0.750 0.250 0.500
0.000 0.000 0.000
0.500 0.500 0.000
0.161 0.161 0.000
0.277 0.277 0.555
0.277 0.723 0.000
0.723 0.277 0.000
0.723 0.723 0.445
0.839 0.839 0.000